1.
TaFeRh2: single point on PBEsol structure, SCAN.

Lattice parameters (Å, degrees): 3.7333 3.8176 3.8176 90.00 90.00 90.00
Fractional positions:
Ta  0.5000  0.5000  0.5000
Rh  0.0000  0.0000  0.5000
Rh  0.0000  0.5000  0.0000
Fe  0.5000  0.0000  0.0000

Results
Calculated formation energy (kJ/mol of atoms): -48
Total moment (μB per atom): 0.64

***

2.
TaFe2Rh: single point on PBEsol structure, SCAN.

Lattice parameters (Å, degrees): 3.7176 3.7176 3.6912 90.00 90.00 90.00
Fractional positions:
Fe  0.5000  0.0000  0.0000
Fe  0.0000  0.5000  0.0000
Ta  0.0000  0.0000  0.5000
Rh  0.5000  0.5000  0.5000

Results
Calculated formation energy (kJ/mol of atoms): -22
Total moment (μB per atom): 0.94
ΔE to the lowest computed polymorph (meV/atom): 0.0

***

3.
TaFe4Rh: single point on PBEsol structure, SCAN.

Lattice parameters (Å, degrees): 4.6760 4.6760 4.6760 60.00 60.00 60.00
Fractional positions:
Ta  0.0000  0.0000  0.0000
Fe  0.8751  0.3750  0.3750
Fe  0.3750  0.3750  0.3750
Fe  0.3750  0.3750  0.8751
Fe  0.3750  0.8751  0.3750
Rh  0.7500  0.7500  0.7500

Results
Calculated formation energy (kJ/mol of atoms): -15
Total moment (μB per atom): 1.47

***

4.
TaFeRh: single point on PBEsol structure, SCAN.

Lattice parameters (Å, degrees): 2.8986 3.4405 4.8017 110.99 107.57 90.00
Fractional positions:
Ta  0.6631  0.6631  0.3261
Rh  0.3370  0.3370  0.6740
Fe  0.9999  0.9999  0.9999

Results
Calculated formation energy (kJ/mol of atoms): -29
Total moment (μB per atom): 0.86

***

5.
TaFe2Rh: single point on PBEsol structure, SCAN.

Lattice parameters (Å, degrees): 3.7037 3.7037 4.6427 113.51 113.51 90.00
Fractional positions:
Rh  0.5000  0.5000  0.0000
Fe  0.7500  0.2500  0.5000
Fe  0.0000  0.0000  0.0000
Ta  0.2500  0.7500  0.5000

Results
Calculated formation energy (kJ/mol of atoms): -21
Total moment (μB per atom): 1.13
ΔE to the lowest computed polymorph (meV/atom): 16.1

***

6.
FeTc2Rh: single point on PBEsol structure, SCAN.

Lattice parameters (Å, degrees): 2.6175 4.5880 4.5880 110.77 90.00 90.00
Fractional positions:
Fe  0.5000  0.0000  0.0000
Rh  0.5000  0.5000  0.5000
Tc  0.0000  0.0000  0.5000
Tc  0.0000  0.5000  0.0000

Results
Calculated formation energy (kJ/mol of atoms): 3
Total moment (μB per atom): 0.51
ΔE to the lowest computed polymorph (meV/atom): 22.9

***

7.
FeTc2Rh: single point on PBEsol structure, SCAN.

Lattice parameters (Å, degrees): 3.6941 3.6941 4.5780 113.79 113.79 90.00
Fractional positions:
Fe  0.5000  0.5000  0.0000
Tc  0.7500  0.2500  0.5000
Tc  0.2500  0.7500  0.5000
Rh  0.0000  0.0000  0.0000

Results
Calculated formation energy (kJ/mol of atoms): 4
Total moment (μB per atom): 0.49
ΔE to the lowest computed polymorph (meV/atom): 34.7

***

8.
FeTcRh2: single point on PBEsol structure, SCAN.

Lattice parameters (Å, degrees): 2.6618 2.6618 7.3818 90.00 90.00 90.00
Fractional positions:
Fe  0.5000  0.5000  0.5000
Tc  0.5000  0.5000  0.0000
Rh  0.0000  0.0000  0.7458
Rh  0.0000  0.0000  0.2542

Results
Calculated formation energy (kJ/mol of atoms): -14
Total moment (μB per atom): 0.87

***

What did the second record say?
TaFe2Rh: single point on PBEsol structure, SCAN.

Lattice parameters (Å, degrees): 3.7176 3.7176 3.6912 90.00 90.00 90.00
Fractional positions:
Fe  0.5000  0.0000  0.0000
Fe  0.0000  0.5000  0.0000
Ta  0.0000  0.0000  0.5000
Rh  0.5000  0.5000  0.5000

Results
Calculated formation energy (kJ/mol of atoms): -22
Total moment (μB per atom): 0.94
ΔE to the lowest computed polymorph (meV/atom): 0.0

***

Question: Among the records above, which one has the lowest calculated formation energy?
Answer: TaFeRh2

***

Question: The lowest total moment belongs to which entry?
Answer: number 7